Here is an optimized crystal structure of K3InPb2 from Alexandria. Energies are from PBE-GGA.

Unit cell a=4.9853 b=7.0803 c=16.5617 alpha=63.06 beta=81.34 gamma=69.39
Element x y z (fractional)
Pb1 0.4277 0.7275 0.4170
Pb2 0.5723 0.2725 0.5830
Pb3 0.8916 0.3624 0.8544
K1 0.8344 0.0780 0.2532
In1 0.5518 0.6512 0.2452
K2 0.1656 0.9220 0.7468
K3 0.3704 0.2255 0.0337
In2 0.4482 0.3488 0.7548
K4 0.8557 0.7024 0.5861
K5 0.6296 0.7745 0.9663
Pb4 0.1084 0.6376 0.1456
K6 0.1443 0.2976 0.4139

Calculated values
calculated total energy	-2.38	eV per atom
formation enthalpy at 0 K	-143	meV per atom
SG	C2/m (12)
calculated volume	487.75	Å³ per cell
DOS at the Fermi energy	2.94	states/eV/f.u.
M_tot	0.000	μB/cell

***

Here is an optimized crystal structure of KTlInPb2 from Alexandria. Energies are from PBE-GGA.

Unit cell a=5.9233 b=6.2841 c=5.9233 alpha=90.00 beta=90.00 gamma=90.00
Element x y z (fractional)
In1 0.5000 0.5000 0.5000
Pb1 0.5000 0.0000 0.0000
K1 0.0000 0.5000 0.0000
Pb2 0.0000 0.0000 0.5000
Tl1 0.0000 0.0000 0.0000

Calculated values
calculated total energy	-2.35	eV per atom
formation enthalpy at 0 K	375	meV per atom
SG	P4/mmm (123)
calculated volume	220.48	Å³ per cell
DOS at the Fermi energy	3.99	states/eV/f.u.
M_tot	0.000	μB/cell
offset from the most stable computed form	0.451	eV per atom

***

> Number 2 is which compound?

KTlInPb2

***

> The lowest calculated volume belongs to which entry?

KTlInPb2

***

> What is the M_tot in the second record?

0.000 μB/cell